# MnZn3Br9 GGA-PBE relaxed
# - E_tot (eV/atom) = -2.878
# - ΔE_f (raw) (eV per formula unit) = -9.365
data_MnZn3Br9
_chemical_formula_sum 'Mn4 Zn12 Br36'
_space_group_name_H-M_alt 'C 1 c 1'
_space_group_IT_number 9
_space_group_name_Hall 'C -2yc'
_cell_length_a 18.0884
_cell_length_b 9.1959
_cell_length_c 13.1914
_cell_angle_alpha 90.00
_cell_angle_beta 130.53
_cell_angle_gamma 90.00
loop_
_atom_site_label
_atom_site_type_symbol
_atom_site_fract_x
_atom_site_fract_y
_atom_site_fract_z
Mn1 Mn 0.0000 0.2297 0.0000
Zn1 Zn 0.1183 0.1093 0.8116
Zn2 Zn 0.2293 0.4387 0.7241
Zn3 Zn 0.3705 0.0712 0.6749
Br1 Br 0.0036 0.3144 0.2093
Br2 Br 0.0956 0.3446 0.7079
Br3 Br 0.1270 0.0611 0.1715
Br4 Br 0.1372 0.3739 0.0431
Br5 Br 0.2469 0.2568 0.6040
Br6 Br 0.2924 0.1231 0.0073
Br7 Br 0.3597 0.4482 0.4363
Br8 Br 0.3884 0.0712 0.3580
Br9 Br 0.4873 0.4214 0.3110